Sc2ReSb: optimized geometry, GGA-PBE.

The calculation puts the energy relative to the elements, uncorrected at -46 meV per atom. For the density of states at the Fermi level, the calculation gives 4.1 states/eV per cell.

Lattice parameters (Å, degrees): 3.334 3.334 7.573 90.00 90.00 90.00
Space group P4mm (No. 99)
One atom of each set of equivalent atoms:
Sc 0.000 0.000 0.000 [1 per cell]
Sc 0.500 0.500 0.330 [1 per cell]
Re 0.000 0.000 0.549 [1 per cell]
Sb 0.500 0.500 0.736 [1 per cell]